(i)
Density functional theory data (PBEsol) for crystalline CaLa2Sc at its relaxed geometry.

Summary:
The calculation puts the volume at 128.6 Å³/cell.

abc: 3.5465 5.0528 7.1763
angles: 90.00 90.00 90.00
Space group Pmm2 (No. 25)
One atom of each set of equivalent atoms:
Ca (0.0000, 0.0000, 0.0000) [1 per cell]
La (0.0000, 0.0000, 0.5104) [1 per cell]
La (0.5000, 0.5000, 0.2858) [1 per cell]
Sc (0.5000, 0.5000, 0.7463) [1 per cell]

---

(ii)
Density functional theory data (PBEsol) for crystalline CaLa2Sc at its relaxed geometry.

Summary:
The calculation puts the volume at 385.9 Å³/cell.

abc: 3.5583 3.5583 35.1944
angles: 90.00 90.00 120.00
Space group R-3m (No. 166, hexagonal axes)
One atom of each set of equivalent atoms:
Ca (0.0000, 0.0000, 0.0000) [3 per cell]
La (0.0000, 0.0000, 0.2428) [6 per cell]
Sc (0.0000, 0.0000, 0.5000) [3 per cell]

---

(iii)
Density functional theory data (PBEsol) for crystalline CaLa2Sc at its relaxed geometry.

Summary:
The calculation puts the volume at 260.3 Å³/cell.

abc: 3.8931 5.7849 11.5566
angles: 90.00 90.00 90.00
Space group Imm2 (No. 44)
One atom of each set of equivalent atoms:
Ca (0.0000, 0.0000, 0.0000) [2 per cell]
La (0.0000, 0.0000, 0.5330) [2 per cell]
La (0.0000, 0.5000, 0.7669) [2 per cell]
Sc (0.0000, 0.5000, 0.2658) [2 per cell]

---

Stability, highest: (ii)

---

(i)
Density functional theory data (PBEsol) for crystalline CaLa2Sc at its relaxed geometry.

Summary:
The calculation puts the volume at 257.8 Å³/cell.

abc: 3.6831 5.8680 11.9301
angles: 90.00 90.00 90.00
Space group Cmm2 (No. 35)
One atom of each set of equivalent atoms:
Ca (0.0000, 0.0000, 0.0000) [2 per cell]
La (0.0000, 0.0000, 0.5327) [2 per cell]
La (0.0000, 0.5000, 0.2715) [2 per cell]
Sc (0.0000, 0.5000, 0.7602) [2 per cell]

---

(ii)
Density functional theory data (PBEsol) for crystalline CaLa2Sc at its relaxed geometry.

Summary:
The calculation puts the volume at 131.6 Å³/cell.

abc: 3.6615 3.6615 9.8152
angles: 90.00 90.00 90.00
Space group P4/mmm (No. 123)
One atom of each set of equivalent atoms:
Ca (0.0000, 0.0000, 0.0000) [1 per cell]
La (0.5000, 0.5000, 0.2792) [2 per cell]
Sc (0.0000, 0.0000, 0.5000) [1 per cell]

---

(iii)
Density functional theory data (PBEsol) for crystalline CaLa2Sc at its relaxed geometry.

Summary:
The calculation puts the volume at 129.5 Å³/cell.

abc: 3.6085 3.6085 9.9478
angles: 90.00 90.00 90.00
Space group P4mm (No. 99)
One atom of each set of equivalent atoms:
Ca (0.0000, 0.0000, 0.0000) [1 per cell]
La (0.0000, 0.0000, 0.5378) [1 per cell]
La (0.5000, 0.5000, 0.2932) [1 per cell]
Sc (0.5000, 0.5000, 0.7542) [1 per cell]

---

Stability, highest: (ii)

---

(i)
Density functional theory data (PBEsol) for crystalline CaLaSe2 at its relaxed geometry.

Summary:
The calculation puts the volume at 105.7 Å³/cell.

abc: 4.2104 4.2104 5.9634
angles: 90.00 90.00 90.00
Space group P4/mmm (No. 123)
One atom of each set of equivalent atoms:
Ca (0.0000, 0.0000, 0.0000) [1 per cell]
La (0.5000, 0.5000, 0.5000) [1 per cell]
Se (0.0000, 0.0000, 0.5000) [1 per cell]
Se (0.5000, 0.5000, 0.0000) [1 per cell]

---

(ii)
Density functional theory data (PBEsol) for crystalline CaLaSe2 at its relaxed geometry.

Summary:
The calculation puts the volume at 314.3 Å³/cell.

abc: 4.1791 4.1791 20.7800
angles: 90.00 90.00 120.00
Space group R-3m (No. 166, hexagonal axes)
One atom of each set of equivalent atoms:
Ca (0.0000, 0.0000, 0.0000) [3 per cell]
La (0.0000, 0.0000, 0.5000) [3 per cell]
Se (0.0000, 0.0000, 0.2538) [6 per cell]

---

Stability, highest: (i)

---

(i)
Density functional theory data (PBEsol) for crystalline CaLa2Ta at its relaxed geometry.

Summary:
The calculation puts the volume at 234.4 Å³/cell.

abc: 3.2887 6.0005 11.8793
angles: 90.00 90.00 90.00
Space group Immm (No. 71)
One atom of each set of equivalent atoms:
Ca (0.0000, 0.0000, 0.0000) [2 per cell]
La (0.0000, 0.5000, 0.2096) [4 per cell]
Ta (0.0000, 0.0000, 0.5000) [2 per cell]

---

(ii)
Density functional theory data (PBEsol) for crystalline CaLa2Ta at its relaxed geometry.

Summary:
The calculation puts the volume at 112.7 Å³/cell.

abc: 3.3046 4.9764 6.8505
angles: 90.00 90.00 90.00
Space group Pmm2 (No. 25)
One atom of each set of equivalent atoms:
Ca (0.0000, 0.0000, 0.0000) [1 per cell]
La (0.0000, 0.0000, 0.5418) [1 per cell]
La (0.5000, 0.5000, 0.2959) [1 per cell]
Ta (0.5000, 0.5000, 0.7518) [1 per cell]

---

Stability, highest: (i)

---

(i)
Density functional theory data (PBEsol) for crystalline Ca2LaTa at its relaxed geometry.

Summary:
The calculation puts the volume at 228.8 Å³/cell.

abc: 10.5494 3.2688 6.6656
angles: 90.00 95.53 90.00
Space group Cm (No. 8)
One atom of each set of equivalent atoms:
Ca (0.0000, 0.0000, 0.0000) [2 per cell]
Ca (0.2390, 0.0000, 0.7217) [2 per cell]
La (0.4818, 0.0000, 0.4290) [2 per cell]
Ta (0.2440, 0.5000, 0.2718) [2 per cell]

---

(ii)
Density functional theory data (PBEsol) for crystalline Ca2LaTa at its relaxed geometry.

Summary:
The calculation puts the volume at 457.4 Å³/cell.

abc: 7.7051 7.7051 7.7051
angles: 90.00 90.00 90.00
Space group Fm-3m (No. 225)
One atom of each set of equivalent atoms:
Ca (0.2500, 0.2500, 0.2500) [8 per cell]
La (0.0000, 0.0000, 0.0000) [4 per cell]
Ta (0.0000, 0.0000, 0.5000) [4 per cell]

---

Stability, highest: (i)

---

(i)
Density functional theory data (PBEsol) for crystalline Ca2LaTl at its relaxed geometry.

Summary:
The calculation puts the volume at 129.2 Å³/cell.

abc: 3.6954 4.6752 7.4810
angles: 90.00 90.00 90.00
Space group Pmm2 (No. 25)
One atom of each set of equivalent atoms:
Ca (0.0000, 0.0000, 0.0000) [1 per cell]
Ca (0.5000, 0.5000, 0.2825) [1 per cell]
La (0.0000, 0.0000, 0.5617) [1 per cell]
Tl (0.5000, 0.5000, 0.7768) [1 per cell]

---

(ii)
Density functional theory data (PBEsol) for crystalline Ca2LaTl at its relaxed geometry.

Summary:
The calculation puts the volume at 126.2 Å³/cell.

abc: 4.9126 4.9126 5.2297
angles: 90.00 90.00 90.00
Space group P4/mmm (No. 123)
One atom of each set of equivalent atoms:
Ca (0.0000, 0.5000, 0.0000) [2 per cell]
La (0.0000, 0.0000, 0.5000) [1 per cell]
Tl (0.5000, 0.5000, 0.5000) [1 per cell]

---

Stability, highest: (ii)

---

(i)
Density functional theory data (PBEsol) for crystalline CaLa2W at its relaxed geometry.

Summary:
The calculation puts the volume at 413.5 Å³/cell.

abc: 7.4498 7.4498 7.4498
angles: 90.00 90.00 90.00
Space group F-43m (No. 216)
One atom of each set of equivalent atoms:
Ca (0.0000, 0.0000, 0.0000) [4 per cell]
La (0.0000, 0.0000, 0.5000) [4 per cell]
La (0.2500, 0.2500, 0.2500) [4 per cell]
W (0.2500, 0.2500, 0.7500) [4 per cell]

---

(ii)
Density functional theory data (PBEsol) for crystalline CaLa2W at its relaxed geometry.

Summary:
The calculation puts the volume at 209.0 Å³/cell.

abc: 6.6931 9.8267 3.1775
angles: 90.00 90.00 90.00
Space group Cmmm (No. 65)
One atom of each set of equivalent atoms:
Ca (0.0000, 0.0000, 0.0000) [2 per cell]
La (0.2500, 0.2500, 0.5000) [4 per cell]
W (0.0000, 0.5000, 0.0000) [2 per cell]

---

Stability, highest: (i)

---

(i)
Density functional theory data (PBEsol) for crystalline CaLa2Y at its relaxed geometry.

Summary:
The calculation puts the volume at 139.1 Å³/cell.

abc: 3.6173 5.1467 7.4691
angles: 90.00 90.00 90.00
Space group Pmmm (No. 47)
One atom of each set of equivalent atoms:
Ca (0.0000, 0.0000, 0.0000) [1 per cell]
La (0.5000, 0.5000, 0.2733) [2 per cell]
Y (0.0000, 0.0000, 0.5000) [1 per cell]

---

(ii)
Density functional theory data (PBEsol) for crystalline CaLa2Y at its relaxed geometry.

Summary:
The calculation puts the volume at 275.5 Å³/cell.

abc: 12.1589 3.6354 6.3293
angles: 90.00 100.02 90.00
Space group Cm (No. 8)
One atom of each set of equivalent atoms:
Ca (0.0000, 0.0000, 0.0000) [2 per cell]
La (0.0001, 0.5000, 0.5005) [2 per cell]
La (0.2439, 0.0000, 0.7260) [2 per cell]
Y (0.2520, 0.5000, 0.2519) [2 per cell]

---

(iii)
Density functional theory data (PBEsol) for crystalline CaLa2Y at its relaxed geometry.

Summary:
The calculation puts the volume at 559.1 Å³/cell.

abc: 8.2380 8.2380 8.2380
angles: 90.00 90.00 90.00
Space group Fm-3m (No. 225)
One atom of each set of equivalent atoms:
Ca (0.0000, 0.0000, 0.0000) [4 per cell]
La (0.2500, 0.2500, 0.2500) [8 per cell]
Y (0.0000, 0.0000, 0.5000) [4 per cell]

---

Stability, highest: (i)